Crystalline LiDy2InS5 at its relaxed geometry, computed with GGA-PBE.

Lattice parameters (Å, degrees): 8.615 8.615 11.303 90.00 90.00 153.98
Positions (direct):
Li 0.224 0.776 0.500
Li 0.776 0.224 0.000
Dy 0.125 0.875 0.162
Dy 0.127 0.873 0.786
Dy 0.873 0.127 0.286
Dy 0.875 0.125 0.662
In 0.419 0.581 0.958
In 0.581 0.419 0.458
S 0.035 0.965 0.571
S 0.299 0.701 0.143
S 0.303 0.697 0.818
S 0.362 0.638 0.481
S 0.495 0.505 0.767
S 0.505 0.495 0.267
S 0.638 0.362 0.981
S 0.697 0.303 0.318
S 0.701 0.299 0.643
S 0.965 0.035 0.071

Values from the calculation:
The value obtained for the energy is -5.300 eV per atom. The space group is No. 36. As for the density of states at the Fermi level: 0.00 states/eV per atom. For the total magnetic moment, the calculation gives 0.00 Bohr magnetons per cell.

=====

Crystalline Li2DySc2In2 at its relaxed geometry, computed with GGA-PBE.

Lattice parameters (Å, degrees): 8.872 8.872 8.872 30.96 30.96 30.96
Positions (direct):
Li 0.086 0.086 0.086
Li 0.914 0.914 0.914
Dy 0.500 0.500 0.500
Sc 0.368 0.368 0.368
Sc 0.632 0.632 0.632
In 0.243 0.243 0.243
In 0.757 0.757 0.757

Values from the calculation:
The formation energy comes out at -20.4 kJ/mol of atoms. The space group is No. 166. As for the density of states at the Fermi level: 0.81 states/eV per atom. For the total magnetic moment, the calculation gives 0.00 Bohr magnetons per cell.

=====

Crystalline LiDySc2In4 at its relaxed geometry, computed with GGA-PBE.

Lattice parameters (Å, degrees): 8.896 8.896 8.896 32.95 32.95 32.95
Positions (direct):
Li 0.000 0.000 0.000
Dy 0.500 0.500 0.500
Sc 0.252 0.252 0.252
Sc 0.748 0.748 0.748
In 0.120 0.120 0.120
In 0.372 0.372 0.372
In 0.628 0.628 0.628
In 0.880 0.880 0.880

Values from the calculation:
The formation energy comes out at -37.7 kJ/mol of atoms. The space group is No. 166. As for the density of states at the Fermi level: 0.56 states/eV per atom. For the total magnetic moment, the calculation gives 0.00 Bohr magnetons per cell.

=====

Crystalline LiDyScIn at its relaxed geometry, computed with GGA-PBE.

Lattice parameters (Å, degrees): 7.245 7.245 7.245 90.00 90.00 90.00
Positions (direct):
Li 0.000 0.000 0.000
Li 0.000 0.500 0.500
Li 0.500 0.000 0.500
Li 0.500 0.500 0.000
Dy 0.250 0.250 0.750
Dy 0.250 0.750 0.250
Dy 0.750 0.250 0.250
Dy 0.750 0.750 0.750
Sc 0.250 0.250 0.250
Sc 0.250 0.750 0.750
Sc 0.750 0.250 0.750
Sc 0.750 0.750 0.250
In 0.000 0.000 0.500
In 0.000 0.500 0.000
In 0.500 0.000 0.000
In 0.500 0.500 0.500

Values from the calculation:
The formation energy comes out at -24.2 kJ/mol of atoms. The space group is No. 216. As for the density of states at the Fermi level: 0.98 states/eV per atom. For the total magnetic moment, the calculation gives 0.01 Bohr magnetons per cell.

=====

Crystalline LiDy2InSe4 at its relaxed geometry, computed with GGA-PBE.

Lattice parameters (Å, degrees): 7.259 7.259 14.654 90.00 90.00 146.71
Positions (direct):
Li 0.170 0.830 0.750
Li 0.830 0.170 0.250
Dy 0.365 0.635 0.062
Dy 0.365 0.635 0.438
Dy 0.635 0.365 0.562
Dy 0.635 0.365 0.938
In 0.103 0.897 0.250
In 0.897 0.103 0.750
Se 0.000 0.000 0.000
Se 0.000 0.000 0.500
Se 0.266 0.734 0.608
Se 0.266 0.734 0.892
Se 0.431 0.569 0.250
Se 0.569 0.431 0.750
Se 0.734 0.266 0.108
Se 0.734 0.266 0.392

Values from the calculation:
The value obtained for the energy is -4.939 eV per atom. The space group is No. 63. For the total magnetic moment, the calculation gives 0.00 Bohr magnetons per cell.

=====

Crystalline Li4Dy3InSe8 at its relaxed geometry, computed with GGA-PBE.

Lattice parameters (Å, degrees): 8.014 8.014 8.014 60.52 60.52 60.52
Positions (direct):
Li 0.000 0.000 0.000
Li 0.000 0.500 0.500
Li 0.500 0.000 0.500
Li 0.500 0.500 0.000
Dy 0.000 0.000 0.500
Dy 0.000 0.500 0.000
Dy 0.500 0.000 0.000
In 0.500 0.500 0.500
Se 0.251 0.251 0.251
Se 0.252 0.252 0.743
Se 0.252 0.743 0.252
Se 0.257 0.748 0.748
Se 0.743 0.252 0.252
Se 0.748 0.257 0.748
Se 0.748 0.748 0.257
Se 0.749 0.749 0.749

Values from the calculation:
The value obtained for the energy is -4.711 eV per atom. The space group is No. 166. As for the density of states at the Fermi level: 0.01 states/eV per atom. For the total magnetic moment, the calculation gives 0.00 Bohr magnetons per cell.

=====

Crystalline Li3Dy3InSe8 at its relaxed geometry, computed with GGA-PBE.

Lattice parameters (Å, degrees): 7.945 7.945 7.945 61.34 61.34 61.34
Positions (direct):
Li 0.000 0.500 0.500
Li 0.500 0.000 0.500
Li 0.500 0.500 0.000
Dy 0.000 0.000 0.500
Dy 0.000 0.500 0.000
Dy 0.500 0.000 0.000
In 0.500 0.500 0.500
Se 0.252 0.252 0.252
Se 0.253 0.253 0.741
Se 0.253 0.741 0.253
Se 0.259 0.747 0.747
Se 0.741 0.253 0.253
Se 0.747 0.259 0.747
Se 0.747 0.747 0.259
Se 0.748 0.748 0.748

Values from the calculation:
The value obtained for the energy is -4.720 eV per atom. The space group is No. 166. As for the density of states at the Fermi level: 0.56 states/eV per atom. For the total magnetic moment, the calculation gives 0.00 Bohr magnetons per cell.

=====

Crystalline Li2DyInSe4 at its relaxed geometry, computed with GGA-PBE.

Lattice parameters (Å, degrees): 6.923 4.015 6.935 90.00 109.49 90.00
Positions (direct):
Li 0.000 0.000 0.000
Li 0.000 0.500 0.500
Dy 0.500 0.000 0.500
In 0.500 0.500 0.000
Se 0.243 0.500 0.249
Se 0.253 0.000 0.763
Se 0.747 0.000 0.237
Se 0.757 0.500 0.751

Values from the calculation:
The value obtained for the energy is -4.365 eV per atom. The space group is No. 10. For the total magnetic moment, the calculation gives 0.00 Bohr magnetons per cell.

=====

Crystalline LiDyIn4Se8 at its relaxed geometry, computed with GGA-PBE.

Lattice parameters (Å, degrees): 8.169 8.169 8.169 59.86 59.86 59.86
Positions (direct):
Li 0.000 0.000 0.000
Dy 0.635 0.635 0.635
In 0.104 0.631 0.631
In 0.248 0.248 0.248
In 0.631 0.104 0.631
In 0.631 0.631 0.104
Se 0.383 0.383 0.848
Se 0.383 0.848 0.383
Se 0.383 0.878 0.878
Se 0.385 0.385 0.385
Se 0.848 0.383 0.383
Se 0.868 0.868 0.868
Se 0.878 0.383 0.878
Se 0.878 0.878 0.383

Values from the calculation:
The value obtained for the energy is -4.065 eV per atom. The space group is No. 160. As for the density of states at the Fermi level: 0.40 states/eV per atom. For the total magnetic moment, the calculation gives 0.00 Bohr magnetons per cell.

=====

Crystalline LiDy2InSe5 at its relaxed geometry, computed with GGA-PBE.

Lattice parameters (Å, degrees): 9.071 9.071 11.878 90.00 90.00 154.31
Positions (direct):
Li 0.222 0.778 0.500
Li 0.778 0.222 0.000
Dy 0.125 0.875 0.162
Dy 0.127 0.873 0.787
Dy 0.873 0.127 0.287
Dy 0.875 0.125 0.662
In 0.417 0.583 0.958
In 0.583 0.417 0.458
Se 0.036 0.964 0.573
Se 0.298 0.702 0.145
Se 0.303 0.697 0.816
Se 0.361 0.639 0.480
Se 0.494 0.506 0.768
Se 0.506 0.494 0.268
Se 0.639 0.361 0.980
Se 0.697 0.303 0.316
Se 0.702 0.298 0.645
Se 0.964 0.036 0.073

Values from the calculation:
The value obtained for the energy is -4.804 eV per atom. The space group is No. 36. For the total magnetic moment, the calculation gives 0.00 Bohr magnetons per cell.

=====

Crystalline LiSmDy2In4 at its relaxed geometry, computed with GGA-PBE.

Lattice parameters (Å, degrees): 9.264 9.264 9.264 32.76 32.76 32.76
Positions (direct):
Li 0.000 0.000 0.000
Sm 0.500 0.500 0.500
Dy 0.254 0.254 0.254
Dy 0.746 0.746 0.746
In 0.122 0.122 0.122
In 0.373 0.373 0.373
In 0.627 0.627 0.627
In 0.878 0.878 0.878

Values from the calculation:
The formation energy comes out at -40.6 kJ/mol of atoms. The space group is No. 166. As for the density of states at the Fermi level: 0.50 states/eV per atom. For the total magnetic moment, the calculation gives 0.00 Bohr magnetons per cell.

=====

Crystalline Li2Sm2DyIn5 at its relaxed geometry, computed with GGA-PBE.

Lattice parameters (Å, degrees): 10.338 10.338 4.487 90.00 90.00 90.00
Positions (direct):
Li 0.117 0.383 0.000
Li 0.383 0.883 0.000
Li 0.617 0.117 0.000
Li 0.883 0.617 0.000
Sm 0.177 0.677 0.000
Sm 0.323 0.177 0.000
Sm 0.677 0.823 0.000
Sm 0.823 0.323 0.000
Dy 0.000 0.000 0.000
Dy 0.500 0.500 0.000
In 0.000 0.500 0.500
In 0.070 0.212 0.500
In 0.212 0.930 0.500
In 0.288 0.430 0.500
In 0.430 0.712 0.500
In 0.500 0.000 0.500
In 0.570 0.288 0.500
In 0.712 0.570 0.500
In 0.788 0.070 0.500
In 0.930 0.788 0.500

Values from the calculation:
The formation energy comes out at -39.3 kJ/mol of atoms. The space group is No. 127. As for the density of states at the Fermi level: 0.57 states/eV per atom. For the total magnetic moment, the calculation gives 0.00 Bohr magnetons per cell.

=====

Crystalline LiSmDyIn at its relaxed geometry, computed with GGA-PBE.

Lattice parameters (Å, degrees): 7.534 7.534 7.534 90.00 90.00 90.00
Positions (direct):
Li 0.000 0.000 0.000
Li 0.000 0.500 0.500
Li 0.500 0.000 0.500
Li 0.500 0.500 0.000
Sm 0.250 0.250 0.750
Sm 0.250 0.750 0.250
Sm 0.750 0.250 0.250
Sm 0.750 0.750 0.750
Dy 0.250 0.250 0.250
Dy 0.250 0.750 0.750
Dy 0.750 0.250 0.750
Dy 0.750 0.750 0.250
In 0.000 0.000 0.500
In 0.000 0.500 0.000
In 0.500 0.000 0.000
In 0.500 0.500 0.500

Values from the calculation:
The formation energy comes out at -25.5 kJ/mol of atoms. The space group is No. 216. As for the density of states at the Fermi level: 1.02 states/eV per atom. For the total magnetic moment, the calculation gives 0.00 Bohr magnetons per cell.

=====

Crystalline LiDyInSn at its relaxed geometry, computed with GGA-PBE.

Lattice parameters (Å, degrees): 7.292 7.292 7.292 90.00 90.00 90.00
Positions (direct):
Li 0.000 0.000 0.000
Li 0.000 0.500 0.500
Li 0.500 0.000 0.500
Li 0.500 0.500 0.000
Dy 0.000 0.000 0.500
Dy 0.000 0.500 0.000
Dy 0.500 0.000 0.000
Dy 0.500 0.500 0.500
In 0.250 0.250 0.250
In 0.250 0.750 0.750
In 0.750 0.250 0.750
In 0.750 0.750 0.250
Sn 0.250 0.250 0.750
Sn 0.250 0.750 0.250
Sn 0.750 0.250 0.250
Sn 0.750 0.750 0.750

Values from the calculation:
The formation energy comes out at -38.2 kJ/mol of atoms. The space group is No. 216. As for the density of states at the Fermi level: 0.58 states/eV per atom. The value obtained for the energy above the most stable polymorph in this dataset is 0.42 eV/f.u. For the total magnetic moment, the calculation gives 0.00 Bohr magnetons per cell.

=====

Crystalline LiDyInSn at its relaxed geometry, computed with GGA-PBE.

Lattice parameters (Å, degrees): 4.423 4.519 4.676 90.00 90.00 90.00
Positions (direct):
Li 0.000 0.000 0.000
Dy 0.000 0.500 0.500
In 0.500 0.500 0.000
Sn 0.500 0.000 0.500

Values from the calculation:
The formation energy comes out at -48.4 kJ/mol of atoms. The space group is No. 47. As for the density of states at the Fermi level: 0.37 states/eV per atom. The value obtained for the energy above the most stable polymorph in this dataset is 0.00 eV/f.u. For the total magnetic moment, the calculation gives 0.00 Bohr magnetons per cell.

=====

Crystalline Sr2Li2DyIn5 at its relaxed geometry, computed with GGA-PBE.

Lattice parameters (Å, degrees): 10.639 10.639 4.625 90.00 90.00 90.00
Positions (direct):
Sr 0.181 0.319 0.000
Sr 0.319 0.819 0.000
Sr 0.681 0.181 0.000
Sr 0.819 0.681 0.000
Li 0.114 0.614 0.000
Li 0.386 0.114 0.000
Li 0.614 0.886 0.000
Li 0.886 0.386 0.000
Dy 0.000 0.000 0.000
Dy 0.500 0.500 0.000
In 0.000 0.500 0.500
In 0.060 0.790 0.500
In 0.210 0.060 0.500
In 0.290 0.560 0.500
In 0.440 0.290 0.500
In 0.500 0.000 0.500
In 0.560 0.710 0.500
In 0.710 0.440 0.500
In 0.790 0.940 0.500
In 0.940 0.210 0.500

Values from the calculation:
The formation energy comes out at -37.3 kJ/mol of atoms. The space group is No. 127. As for the density of states at the Fermi level: 0.42 states/eV per atom. For the total magnetic moment, the calculation gives 0.00 Bohr magnetons per cell.

=====

Crystalline SrLiDy2In4 at its relaxed geometry, computed with GGA-PBE.

Lattice parameters (Å, degrees): 9.447 9.447 9.447 32.60 32.60 32.60
Positions (direct):
Sr 0.000 0.000 0.000
Li 0.500 0.500 0.500
Dy 0.245 0.245 0.245
Dy 0.755 0.755 0.755
In 0.128 0.128 0.128
In 0.384 0.384 0.384
In 0.616 0.616 0.616
In 0.872 0.872 0.872

Values from the calculation:
The formation energy comes out at -33.7 kJ/mol of atoms. The space group is No. 166. As for the density of states at the Fermi level: 0.61 states/eV per atom. For the total magnetic moment, the calculation gives 0.00 Bohr magnetons per cell.

=====

Crystalline Li2Tb2DyIn2 at its relaxed geometry, computed with GGA-PBE.

Lattice parameters (Å, degrees): 9.259 9.259 9.259 30.39 30.39 30.39
Positions (direct):
Li 0.105 0.105 0.105
Li 0.895 0.895 0.895
Tb 0.373 0.373 0.373
Tb 0.627 0.627 0.627
Dy 0.500 0.500 0.500
In 0.237 0.237 0.237
In 0.763 0.763 0.763

Values from the calculation:
The formation energy comes out at -21.8 kJ/mol of atoms. The space group is No. 166. As for the density of states at the Fermi level: 0.78 states/eV per atom. For the total magnetic moment, the calculation gives 0.00 Bohr magnetons per cell.

=====

Crystalline Li2TbDy2In5 at its relaxed geometry, computed with GGA-PBE.

Lattice parameters (Å, degrees): 10.341 10.341 4.400 90.00 90.00 90.00
Positions (direct):
Li 0.120 0.380 0.000
Li 0.380 0.880 0.000
Li 0.620 0.120 0.000
Li 0.880 0.620 0.000
Tb 0.000 0.000 0.000
Tb 0.500 0.500 0.000
Dy 0.175 0.675 0.000
Dy 0.325 0.175 0.000
Dy 0.675 0.825 0.000
Dy 0.825 0.325 0.000
In 0.000 0.500 0.500
In 0.074 0.213 0.500
In 0.213 0.926 0.500
In 0.287 0.426 0.500
In 0.426 0.713 0.500
In 0.500 0.000 0.500
In 0.574 0.287 0.500
In 0.713 0.574 0.500
In 0.787 0.074 0.500
In 0.926 0.787 0.500

Values from the calculation:
The formation energy comes out at -36.3 kJ/mol of atoms. The space group is No. 127. As for the density of states at the Fermi level: 0.52 states/eV per atom. For the total magnetic moment, the calculation gives 0.00 Bohr magnetons per cell.

=====

Crystalline LiTbDy2In4 at its relaxed geometry, computed with GGA-PBE.

Lattice parameters (Å, degrees): 9.200 9.200 9.200 32.86 32.86 32.86
Positions (direct):
Li 0.000 0.000 0.000
Tb 0.500 0.500 0.500
Dy 0.254 0.254 0.254
Dy 0.746 0.746 0.746
In 0.123 0.123 0.123
In 0.373 0.373 0.373
In 0.627 0.627 0.627
In 0.877 0.877 0.877

Values from the calculation:
The formation energy comes out at -40.7 kJ/mol of atoms. The space group is No. 166. As for the density of states at the Fermi level: 0.49 states/eV per atom. For the total magnetic moment, the calculation gives 0.00 Bohr magnetons per cell.